# Ag2Mo2O7

Ag2Mo2O7 after structural relaxation (PBE+U, the Alexandria database).

Output
Density of states at the Fermi level   0.00 states/eV per cell
E   -6.124 eV/atom
Magnetization   0.000 μB/atom
E above lowest polymorph   6.5 meV per atom
SG   P2_1/c (14)

Structure (extended XYZ):
```
44
Lattice="-5.4625 2.8489 0.5901 -0.0702 -4.9816 -6.3875 -4.3567 -9.9749 7.8273" Properties=species:S:1:pos:R:3 pbc="T T T"
O -4.1501 -7.8253 2.3931
Mo -2.3497 -6.3779 1.9726
Ag -2.9606 -2.5851 -2.7624
Ag -4.2767 -3.1880 2.8590
O -7.7275 -8.4782 6.8933
Mo -7.5398 -5.7298 0.0572
O -4.7696 -6.2984 -2.0653
O -7.0567 -10.5357 0.1902
Mo -5.5888 -6.7039 2.6255
O -2.9898 -4.3420 -1.1350
O -5.1198 -5.8093 4.0952
Mo -9.6550 -8.1624 7.1144
Ag -6.0691 -2.0096 -0.7373
O -1.1747 -0.3429 -0.0649
O -5.4345 -2.2587 -3.1782
O -6.2458 -10.7977 2.8613
O -3.9390 -5.2876 1.5860
Mo -6.7407 -11.7518 1.4383
O -6.5437 -2.3880 2.0716
O -7.6410 -3.5907 4.3227
Mo -3.1487 -0.3559 0.5916
O -0.6685 -2.4891 -1.8745
O -4.4549 -9.8490 5.2080
O -2.8327 -1.5719 1.8396
Ag -6.9288 -9.5226 4.7922
O -3.6436 -1.3100 -0.8314
O -2.2484 -8.5169 -2.2928
O -3.3457 -9.7197 -0.0417
O -5.1519 -12.5294 0.9361
Ag -3.5806 -7.1388 5.5933
Ag -3.8203 -10.0980 2.7672
O -5.7393 -4.2824 -0.3632
O -6.8906 -5.1778 2.0743
O -2.1620 -3.6294 -4.8634
O -8.7147 -11.7647 2.0948
O -5.9504 -6.8201 0.4439
O -9.2209 -9.6185 3.9044
O -4.7375 0.4217 1.0938
Mo -4.3006 -5.4037 -0.5957
Ag -5.6127 -8.9197 -0.8291
O -2.9989 -6.9299 -0.0444
O -6.8996 -7.7657 3.1648
Ag -6.3088 -4.9689 -3.5634
Mo -0.2344 -3.9453 -5.0845
```